# 1
This record from Alexandria via LeMat-Bulk describes a crystal of SiTcRh2 relaxed with PBEsol. The functional is SCAN.

**E_form (uncorrected)**: -423 meV/atom
**Final energy**: -28.58 eV per atom
**Magnetization**: 0.00 μB/cell
**Crystal system**: orthorhombic

Cell lengths 2.7749, 4.2997, 5.1397 Å; angles 114.73, 105.66, 90.00 degrees
Fractional positions:
Rh  0.9933  0.9933  0.9865
Rh  0.7869  0.2869  0.5738
Si  0.4982  0.4982  0.9965
Tc  0.2216  0.7216  0.4432

=====

# 2
This record from Alexandria via LeMat-Bulk describes a crystal of SiTc2Rh relaxed with PBEsol. The functional is SCAN.

**E_form (uncorrected)**: -369 meV/atom
**Final energy**: -28.85 eV per atom
**Magnetization**: 0.00 μB/cell
**Crystal system**: orthorhombic

Cell lengths 2.8708, 4.3154, 4.9960 Å; angles 115.59, 106.70, 90.00 degrees
Fractional positions:
Rh  0.5274  0.5274  0.0549
Si  0.2480  0.7480  0.4960
Tc  0.9782  0.9782  0.9564
Tc  0.7463  0.2463  0.4927

=====

# 3
This record from Alexandria via LeMat-Bulk describes a crystal of SiTcRh2 relaxed with PBEsol. The functional is SCAN.

**E_form (uncorrected)**: -287 meV/atom
**Final energy**: -28.44 eV per atom
**Magnetization**: 0.00 μB/cell
**Crystal system**: orthorhombic

Cell lengths 2.7287, 3.5688, 5.4656 Å; angles 90.00, 90.00, 90.00 degrees
Fractional positions:
Rh  0.0000  0.0000  0.9836
Rh  0.5000  0.5000  0.2772
Si  0.0000  0.0000  0.4773
Tc  0.5000  0.5000  0.7619